No. 1
# KZnSn3

A relaxed structure of KZnSn3 (GGA-PBE, the Alexandria database).

Summary:
calculated volume	146	Å³/f.u.
calculated density	5.3	g cm⁻³
DFT formation energy	-13.72	kJ/mol of atoms
space group	Imm2 (44)

abc: 4.7967 5.2239 6.8051
angles: 67.45 69.38 89.99
Fractional coordinates of all 5 atoms:
Sn1 0.6515 0.9551 0.4023
Sn2 0.7937 0.5970 0.1178
Sn3 0.1356 0.4392 0.4342
Zn1 0.0288 0.8322 0.6482
K1 0.3982 0.2018 0.9086

***

No. 2
# Cu3TcSe

A relaxed structure of Cu3TcSe (GGA-PBE, the Alexandria database).

Summary:
calculated volume	89	Å³/f.u.
energy relative to the elements, uncorrected	5.3	eV per formula unit
calculated density	6.8	g cm⁻³
space group	Pm-3m (221)

abc: 4.4719 4.4719 4.4719
angles: 90.00 90.00 90.00
Fractional coordinates of all 5 atoms:
Se1 0.0000 0.0000 0.0000
Cu1 0.0000 0.0000 0.5000
Cu2 0.5000 0.0000 0.0000
Cu3 0.0000 0.5000 0.0000
Tc1 0.5000 0.5000 0.5000

***

No. 3
# LiTcP2Cl

A relaxed structure of LiTcP2Cl (GGA-PBE, the Alexandria database).

Summary:
calculated volume	111	Å³/f.u.
energy relative to the elements, uncorrected	-0.4	eV per formula unit
calculated density	3.0	g cm⁻³
space group	P4/mmm (123)

abc: 4.5100 4.5100 5.4556
angles: 90.00 90.00 90.00
Fractional coordinates of all 5 atoms:
Li1 0.5000 0.5000 0.5000
Tc1 0.0000 0.0000 0.0000
Cl1 0.0000 0.0000 0.5000
P1 0.0000 0.5000 0.0000
P2 0.5000 0.0000 0.0000

***

No. 4
# MnSi2Ni

A relaxed structure of MnSi2Ni (GGA-PBE, the Alexandria database).

Summary:
calculated volume	49	Å³/f.u.
energy relative to the elements, uncorrected	-0.1	eV per formula unit
calculated density	5.8	g cm⁻³
space group	P4mm (99)

abc: 2.5818 2.5818 7.3085
angles: 90.00 90.00 90.00
Fractional coordinates of all 4 atoms:
Mn1 0.0000 0.0000 0.5018
Si1 0.5000 0.5000 0.2734
Si2 0.0000 0.0000 0.9704
Ni1 0.5000 0.5000 0.7545

***

No. 5
# CaIn2CuSb

A relaxed structure of CaIn2CuSb (GGA-PBE, the Alexandria database).

Summary:
calculated volume	172	Å³/f.u.
energy relative to the elements, uncorrected	4.0	eV per formula unit
calculated density	4.4	g cm⁻³
space group	P4/mmm (123)

abc: 5.8246 5.8246 5.0587
angles: 90.00 90.00 90.00
Fractional coordinates of all 5 atoms:
Sb1 0.5000 0.5000 0.5000
In1 0.5000 0.0000 0.0000
In2 0.0000 0.5000 0.0000
Ca1 0.0000 0.0000 0.0000
Cu1 0.0000 0.0000 0.5000

***

No. 6
# BaPrSnAu

A relaxed structure of BaPrSnAu (GGA-PBE, the Alexandria database).

Summary:
calculated volume	127	Å³/f.u.
calculated density	7.7	g cm⁻³
DFT formation energy	-58.79	kJ/mol of atoms
space group	F-43m (216)

abc: 5.6491 5.6491 5.6491
angles: 60.00 60.00 60.00
Fractional coordinates of all 4 atoms:
Au1 0.0000 0.0000 0.0000
Ba1 0.7500 0.7500 0.7500
Pr1 0.2500 0.2500 0.2500
Sn1 0.5000 0.5000 0.5000

***

No. 7
# Ce2MgTc

A relaxed structure of Ce2MgTc (GGA-PBE, the Alexandria database).

Summary:
calculated volume	111	Å³/f.u.
calculated density	6.0	g cm⁻³
DFT formation energy	13.03	kJ/mol of atoms
space group	R-3m (166)

abc: 3.8810 3.8810 8.7829
angles: 77.24 77.24 60.00
Fractional coordinates of all 4 atoms:
Ce1 0.7280 0.7280 0.8160
Ce2 0.2720 0.2720 0.1840
Tc1 0.0000 0.0000 0.0000
Mg1 0.5000 0.5000 0.5000

***

No. 8
# Cr2RuRh

A relaxed structure of Cr2RuRh (GGA-PBE, the Alexandria database).

Summary:
calculated volume	52	Å³/f.u.
calculated density	9.9	g cm⁻³
DFT formation energy	3.93	kJ/mol of atoms
space group	Pmmm (47)

abc: 2.6648 3.6427 5.3465
angles: 90.00 90.00 90.00
Fractional coordinates of all 4 atoms:
Cr1 0.0000 0.0000 0.5085
Cr2 0.0000 0.0000 0.9915
Ru1 0.5000 0.5000 0.7500
Rh1 0.5000 0.5000 0.2500

***

No. 9
# VRuS2

A relaxed structure of VRuS2 (GGA-PBE, the Alexandria database).

Summary:
calculated volume	59	Å³/f.u.
energy relative to the elements, uncorrected	-1.6	eV per formula unit
calculated density	6.1	g cm⁻³
space group	R-3m (166)

abc: 7.8398 7.8398 7.8398
angles: 21.92 21.92 21.92
Fractional coordinates of all 4 atoms:
S1 0.0981 0.0981 0.0981
S2 0.9019 0.9019 0.9019
V1 0.5000 0.5000 0.5000
Ru1 0.0000 0.0000 0.0000